1.
Ga2Co5GeB2: optimized geometry, GGA-PBE.

Geometry as POSCAR:
```
Ga2Co5GeB2
1.0
2.8582 0.0000 0.0000
0.0000 8.5650 0.0000
0.0000 0.0000 8.5650
B Ge Co Ga
4 2 10 4
direct
0.0000 0.8757 0.3757
0.0000 0.1243 0.6243
0.0000 0.6243 0.8757
0.0000 0.3757 0.1243
0.0000 0.5000 0.5000
0.0000 0.0000 0.0000
0.5000 0.7142 0.4226
0.5000 0.2142 0.0774
0.5000 0.0000 0.5000
0.5000 0.5000 0.0000
0.5000 0.0774 0.7858
0.5000 0.2858 0.5774
0.5000 0.9226 0.2142
0.5000 0.7858 0.9226
0.5000 0.4226 0.2858
0.5000 0.5774 0.7142
0.0000 0.6731 0.1731
0.0000 0.3269 0.8269
0.0000 0.1731 0.3269
0.0000 0.8269 0.6731
```

Values from the calculation:
* space group: No. 127

***

2.
Hf2GaCo5B2: optimized geometry, GGA-PBE.

Geometry as POSCAR:
```
Hf2GaCo5B2
1.0
-1.5881 -2.4684 -0.9639
4.5986 -5.0226 5.2854
-5.7900 1.2823 6.2562
Co Ga B Hf
10 2 4 4
direct
0.5000 0.7235 0.4314
0.5000 0.0686 0.7765
0.5000 0.7765 0.9314
0.5000 0.5686 0.7235
0.5000 0.2235 0.0686
0.5000 0.5000 0.0000
0.5000 0.0000 0.5000
0.5000 0.9314 0.2235
0.5000 0.2765 0.5686
0.5000 0.4314 0.2765
0.0000 0.0000 0.0000
0.0000 0.5000 0.5000
0.0000 0.6192 0.8808
0.0000 0.1192 0.6192
0.0000 0.8808 0.3808
0.0000 0.3808 0.1192
0.0000 0.6770 0.1770
0.0000 0.8230 0.6770
0.0000 0.1770 0.3230
0.0000 0.3230 0.8230
```

Values from the calculation:
* space group: No. 127

***

3.
Ho3Ga2Co3B: optimized geometry, GGA-PBE.

Geometry as POSCAR:
```
Ho3Ga2Co3B
1.0
3.5210 0.0000 0.0000
0.0000 7.0193 0.0000
0.0000 -3.5096 6.0789
Ho Ga B Co
3 2 1 3
direct
0.0000 0.0000 0.3666
0.0000 0.3666 0.0000
0.0000 0.6334 0.6334
0.5000 0.6667 0.3333
0.5000 0.3333 0.6667
0.0000 0.0000 0.0000
0.5000 0.7954 0.0000
0.5000 0.2046 0.2046
0.5000 0.0000 0.7954
```

Values from the calculation:
* space group: No. 189

***

4.
InGaCoB2: optimized geometry, GGA-PBE.

Geometry as POSCAR:
```
InGaCoB2
1.0
4.0320 0.0000 0.0000
0.0000 4.7344 0.0000
0.0000 0.0000 4.0320
Co B Ga In
1 2 1 1
direct
0.0000 0.5000 0.0000
0.0000 0.0000 0.5000
0.5000 0.0000 0.0000
0.0000 0.0000 0.0000
0.5000 0.5000 0.5000
```

Values from the calculation:
* space group: No. 123

***

5.
InGa2CoB: optimized geometry, GGA-PBE.

Geometry as POSCAR:
```
InGa2CoB
1.0
4.6528 0.0000 0.0000
0.0000 3.9044 0.0000
0.0000 0.0000 4.6528
Co Ga B In
1 2 1 1
direct
0.0000 0.0000 0.0000
0.0000 0.0000 0.5000
0.5000 0.0000 0.0000
0.0000 0.5000 0.0000
0.5000 0.5000 0.5000
```

Values from the calculation:
* space group: No. 123

***

6.
Ga3Co4B2Ir3: optimized geometry, GGA-PBE.

Geometry as POSCAR:
```
Ga3Co4B2Ir3
1.0
3.8078 0.0000 0.0000
0.0000 4.0293 0.0000
-1.9039 -2.0147 10.1796
Co Ga Ir B
4 3 3 2
direct
0.4045 0.9025 0.8050
0.2044 0.2006 0.4011
0.5995 0.0975 0.1950
0.8033 0.7994 0.5989
0.5021 0.5000 0.0000
0.3194 0.3172 0.6344
0.6849 0.6828 0.3656
0.0019 0.0000 0.0000
0.0984 0.5963 0.1926
0.9058 0.4037 0.8074
0.8954 0.8935 0.7870
0.1084 0.1065 0.2130
```

Values from the calculation:
* space group: No. 44

***

It is found that the V values, taken in the order of the records, are 209.7 229.6 150.2 77.0 84.5 156.2 Å³ per cell.
It is found that the energy of formation values, taken in the order of the records, are -0.21 -0.60 -0.31 1.39 0.28 -0.05 eV/atom.